# TlI3O

Crystalline TlI3O at its relaxed geometry (PBE-GGA, the Alexandria database).

abc: 6.077 6.077 6.077
angles: 90.00 90.00 90.00
Last column: magnetic moment on the atom in μB.
Fractional positions:
I: 0.500 0.000 0.000  0.14
I: 0.000 0.000 0.500  0.09
I: 0.000 0.500 0.000  0.12
Tl: 0.000 0.000 0.000  -0.01
O: 0.500 0.500 0.500  1.49

Summary:
formation energy without anion corrections = 0.589 eV/atom
symmetry = No. 221
total magnetic moment = 2.4 μB per cell

=====

# La2WBr

Crystalline La2WBr at its relaxed geometry (PBE-GGA, the Alexandria database).

abc: 3.276 3.276 11.009
angles: 90.00 90.00 90.00
Fractional positions:
W: 0.000 0.000 0.481
La: 0.500 0.500 0.288
Br: 0.500 0.500 0.773
La: 0.000 0.000 0.958

Summary:
formation energy without anion corrections = 0.492 eV/atom
symmetry = No. 99
total magnetic moment = 0.0 μB per cell

=====

# AgP3S

Crystalline AgP3S at its relaxed geometry (PBE-GGA, the Alexandria database).

abc: 4.544 4.544 4.544
angles: 90.00 90.00 90.00
Fractional positions:
S: 0.000 0.000 0.000
P: 0.000 0.500 0.000
P: 0.000 0.000 0.500
P: 0.500 0.000 0.000
Ag: 0.500 0.500 0.500

Summary:
formation energy without anion corrections = 0.997 eV/atom
symmetry = No. 221
total magnetic moment = 0.0 μB per cell

=====

# DyTh3

Crystalline DyTh3 at its relaxed geometry (PBE-GGA, the Alexandria database).

abc: 5.676 5.676 5.676
angles: 60.00 60.00 60.00
Fractional positions:
Th: 0.250 0.250 0.250
Th: 0.000 0.000 0.000
Th: 0.750 0.750 0.750
Dy: 0.500 0.500 0.500

Summary:
symmetry = No. 225
formation enthalpy at 0 K = 0.177 eV per atom
total magnetic moment = 0.0 μB per cell

=====

# Cs2PSF5

Crystalline Cs2PSF5 at its relaxed geometry (PBE-GGA, the Alexandria database).

abc: 6.633 6.633 6.633
angles: 94.52 117.43 117.43
Fractional positions:
P: 0.000 0.996 0.996
F: 0.000 0.839 0.187
S: 0.000 0.765 0.765
F: 0.000 0.185 0.185
Cs: 0.500 0.751 0.251
F: 0.000 0.187 0.839
F: 0.348 0.187 0.187
F: 0.652 0.839 0.839
Cs: 0.500 0.251 0.751

Summary:
formation energy without anion corrections = -2.334 eV/atom
symmetry = No. 107
total magnetic moment = 0.0 μB per cell

=====

# CaCrSb3

Crystalline CaCrSb3 at its relaxed geometry (PBE-GGA, the Alexandria database).

abc: 5.667 5.667 5.667
angles: 90.00 90.00 90.00
Last column: magnetic moment on the atom in μB.
Fractional positions:
Sb: 0.500 0.000 0.000  -0.02
Cr: 0.500 0.500 0.500  4.25
Ca: 0.000 0.000 0.000  0.02
Sb: 0.000 0.000 0.500  -0.02
Sb: 0.000 0.500 0.000  -0.03

Summary:
formation energy without anion corrections = 0.935 eV/atom
symmetry = No. 221
total magnetic moment = 4.8 μB per cell

=====

# HoLuSnPt

Crystalline HoLuSnPt at its relaxed geometry (PBE-GGA, the Alexandria database).

abc: 5.087 5.087 5.087
angles: 60.00 60.00 60.00
Fractional positions:
Ho: 0.000 0.000 0.000
Lu: 0.500 0.500 0.500
Pt: 0.750 0.750 0.750
Sn: 0.250 0.250 0.250

Summary:
symmetry = No. 216
formation enthalpy at 0 K = -0.863 eV per atom
total magnetic moment = 0.0 μB per cell

=====

# AgS2O

Crystalline AgS2O at its relaxed geometry (PBE-GGA, the Alexandria database).

abc: 8.425 8.425 8.425
angles: 20.40 20.40 20.40
Fractional positions:
O: 0.000 0.000 0.000
S: 0.932 0.932 0.932
S: 0.068 0.068 0.068
Ag: 0.500 0.500 0.500

Summary:
formation energy without anion corrections = 0.502 eV/atom
symmetry = No. 166
total magnetic moment = 0.0 μB per cell

=====

# KPb12

Crystalline KPb12 at its relaxed geometry (PBE-GGA, the Alexandria database).

abc: 9.560 9.560 9.560
angles: 60.00 60.00 60.00
Fractional positions:
Pb: 0.164 0.500 0.500
Pb: 0.500 0.836 0.500
Pb: 0.500 0.836 0.164
Pb: 0.500 0.164 0.500
Pb: 0.500 0.164 0.836
Pb: 0.836 0.164 0.500
Pb: 0.500 0.500 0.164
Pb: 0.164 0.836 0.500
K: 0.000 0.000 0.000
Pb: 0.836 0.500 0.500
Pb: 0.500 0.500 0.836
Pb: 0.164 0.500 0.836
Pb: 0.836 0.500 0.164

Summary:
symmetry = No. 225
formation enthalpy at 0 K = 0.242 eV per atom
total magnetic moment = 0.0 μB per cell

=====

# CsRe2HgO8

Crystalline CsRe2HgO8 at its relaxed geometry (PBE-GGA, the Alexandria database).

abc: 5.838 5.838 9.621
angles: 72.34 72.34 60.00
Last column: magnetic moment on the atom in μB.
Fractional positions:
Re: 0.751 0.751 0.746  0.05
O: 0.947 0.518 0.316  0.03
O: 0.518 0.219 0.316  0.03
O: 0.314 0.314 0.059  0.00
Cs: 0.000 0.000 0.000  0.00
O: 0.686 0.686 0.941  0.00
O: 0.053 0.781 0.684  0.03
O: 0.219 0.947 0.316  0.03
O: 0.482 0.053 0.684  0.03
O: 0.781 0.482 0.684  0.03
Hg: 0.500 0.500 0.500  0.47
Re: 0.249 0.249 0.254  0.05

Summary:
formation energy without anion corrections = -1.490 eV/atom
symmetry = No. 155
total magnetic moment = 1.1 μB per cell

=====

# Sr3ZrU3N8

Crystalline Sr3ZrU3N8 at its relaxed geometry (PBE-GGA, the Alexandria database).

abc: 6.944 6.945 7.230
angles: 118.71 90.00 120.00
Last column: magnetic moment on the atom in μB.
Fractional positions:
N: 0.227 0.953 0.679  -0.05
U: 0.500 0.500 0.500  1.13
U: 0.000 0.500 0.500  1.13
Sr: 0.500 0.500 0.000  0.04
N: 0.735 0.469 0.704  -0.05
N: 0.773 0.047 0.321  -0.05
Sr: 0.000 0.000 0.000  0.04
N: 0.774 0.547 0.321  -0.05
N: 0.226 0.453 0.679  -0.05
N: 0.726 0.953 0.679  -0.05
Sr: 0.000 0.500 0.000  0.04
N: 0.274 0.047 0.321  -0.05
U: 0.500 0.000 0.500  1.13
Zr: 0.000 0.000 0.500  0.08
N: 0.265 0.531 0.296  -0.05

Summary:
formation energy without anion corrections = -1.211 eV/atom
symmetry = No. 166
total magnetic moment = 3.6 μB per cell

=====

# Ho2Ga5Ni5

Crystalline Ho2Ga5Ni5 at its relaxed geometry (PBE-GGA, the Alexandria database).

abc: 4.028 5.175 8.829
angles: 90.00 90.00 90.00
Fractional positions:
Ni: 0.000 0.500 0.665
Ga: 0.500 0.751 0.764
Ga: 0.500 0.751 0.236
Ga: 0.500 0.500 0.500
Ga: 0.500 0.249 0.236
Ni: 0.000 0.000 0.171
Ga: 0.500 0.249 0.764
Ho: 0.000 0.000 0.500
Ho: 0.000 0.500 0.000
Ni: 0.000 0.500 0.335
Ni: 0.500 0.000 0.000
Ni: 0.000 0.000 0.829

Summary:
symmetry = No. 47
formation enthalpy at 0 K = -0.551 eV per atom
total magnetic moment = 0.0 μB per cell